No. 1
Density functional theory data (PBE) for a relaxed structure of TbY5Bi6.

Unit cell a=7.7662 b=7.7693 c=7.7686 alpha=60.00 beta=80.40 gamma=70.52
Positions (direct):
1 Bi 0.2503 0.9165 0.6664
2 Y 0.0000 0.3332 0.3336
3 Tb 0.0000 0.0000 0.0000
4 Bi 0.2499 0.2504 0.0000
5 Y 0.5000 0.5000 0.0000
6 Y 0.5000 0.1664 0.6672
7 Bi 0.7497 0.0835 0.3336
8 Y 0.5000 0.8336 0.3328
9 Bi 0.2503 0.5829 0.3336
10 Bi 0.7501 0.7496 0.0000
11 Bi 0.7497 0.4171 0.6664
12 Y 0.0000 0.6668 0.6664

Output
* energy relative to the elements: -895 meV/atom
* total moment: 0.00 Bohr magnetons per cell
* calculated volume: 383 Å³/cell

No. 2
Density functional theory data (PBE) for a relaxed structure of Tb3Y5Bi8.

Unit cell a=8.9756 b=8.9756 c=8.9738 alpha=59.99 beta=59.99 gamma=60.00
Positions (direct):
1 Y 0.5000 0.5000 0.5000
2 Bi 0.2500 0.7497 0.7503
3 Tb 0.0000 0.0000 0.5000
4 Bi 0.2503 0.7500 0.2497
5 Bi 0.7497 0.2500 0.7503
6 Tb 0.5000 0.0000 0.5000
7 Y 0.5000 0.5000 0.0000
8 Bi 0.2500 0.2500 0.7503
9 Bi 0.7498 0.7498 0.7505
10 Bi 0.2502 0.2502 0.2495
11 Bi 0.7500 0.7500 0.2497
12 Y 0.0000 0.5000 0.0000
13 Bi 0.7500 0.2503 0.2497
14 Y 0.5000 0.0000 0.0000
15 Tb 0.0000 0.5000 0.5000
16 Y 0.0000 0.0000 0.0000

Output
* energy relative to the elements: -890 meV/atom
* total moment: 0.00 Bohr magnetons per cell
* calculated volume: 511 Å³/cell

No. 3
Density functional theory data (PBE) for a relaxed structure of TbYBi.

Unit cell a=5.5131 b=5.5131 c=6.5802 alpha=90.00 beta=90.00 gamma=120.00
Positions (direct):
1 Y 0.6667 0.3333 0.7500
2 Bi 0.3333 0.6667 0.7500
3 Tb 0.0000 0.0000 0.0000
4 Tb 0.0000 0.0000 0.5000
5 Bi 0.6667 0.3333 0.2500
6 Y 0.3333 0.6667 0.2500

Output
* energy relative to the elements: -497 meV/atom
* total moment: 0.00 Bohr magnetons per cell
* calculated volume: 173 Å³/cell

No. 4
Density functional theory data (PBE) for a relaxed structure of Tb5Y2Bi4.

Unit cell a=3.5144 b=8.1924 c=15.0212 alpha=121.90 beta=96.72 gamma=90.00
Positions (direct):
1 Y 0.7321 0.6442 0.4643
2 Tb 0.8613 0.7757 0.7225
3 Y 0.2679 0.3558 0.5357
4 Tb 0.5000 0.0000 0.0000
5 Tb 0.1387 0.2243 0.2775
6 Tb 0.8293 0.1461 0.6587
7 Bi 0.5992 0.4585 0.1984
8 Tb 0.1707 0.8539 0.3413
9 Bi 0.0497 0.7897 0.0993
10 Bi 0.4008 0.5415 0.8016
11 Bi 0.9503 0.2103 0.9007

Output
* energy relative to the elements: -213 meV/atom
* total moment: 0.00 Bohr magnetons per cell
* calculated volume: 364 Å³/cell

No. 5
Density functional theory data (PBE) for a relaxed structure of TbY3Bi2.

Unit cell a=4.5675 b=4.5675 c=8.6349 alpha=90.00 beta=90.00 gamma=90.00
Positions (direct):
1 Bi 0.0000 0.5000 0.2832
2 Y 0.0000 0.5000 0.6528
3 Bi 0.5000 0.0000 0.7168
4 Y 0.5000 0.0000 0.3472
5 Tb 0.5000 0.5000 0.0000
6 Y 0.0000 0.0000 0.0000

Output
* energy relative to the elements: -627 meV/atom
* total moment: 0.00 Bohr magnetons per cell
* distance to the lowest polymorph of the same formula: 0.0 meV per atom
* calculated volume: 180 Å³/cell

No. 6
Density functional theory data (PBE) for a relaxed structure of TbYBi.

Unit cell a=3.4530 b=6.9342 c=15.4185 alpha=134.10 beta=90.00 gamma=104.42
Positions (direct):
1 Y 0.0631 0.1262 0.6536
2 Y 0.9369 0.8738 0.3464
3 Tb 0.3040 0.6080 0.6300
4 Bi 0.8552 0.7104 0.8411
5 Bi 0.1448 0.2896 0.1589
6 Tb 0.6960 0.3920 0.3700

Output
* energy relative to the elements: 70 meV/atom
* total moment: 0.00 Bohr magnetons per cell
* calculated volume: 249 Å³/cell